Entry 1:
A relaxed structure of LiMgBr2, computed with PBE-GGA.

Calculated values
* offset from the most stable computed form: 16 meV per atom
* total magnetic moment: 0.929 μB per formula unit
* formation energy (no corrections): -0.98 eV/atom
* D(E_F): 0.9 states/eV/f.u.

The structure in CIF format:
```
data_LiMgBr2
_cell_length_a 14.710
_cell_length_b 3.931
_cell_length_c 3.767
_cell_angle_alpha 90.00
_cell_angle_beta 104.70
_cell_angle_gamma 90.00
_symmetry_space_group_name_H-M 'C 1 m 1'
_symmetry_Int_Tables_number 8
loop_
_symmetry_equiv_pos_as_xyz
'x,y,z'
'x,-y,z'
'x+1/2,y+1/2,z'
'x+1/2,-y+1/2,z'
loop_
_atom_site_label
_atom_site_fract_x
_atom_site_fract_y
_atom_site_fract_z
_atom_site_occupancy
Li1 0.000 0.000 0.000 1
Mg1 0.305 0.500 0.306 1
Br1 0.182 0.000 0.187 1
Br2 0.463 0.000 0.465 1
```

=====

Entry 2:
A relaxed structure of Li3MgBr, computed with PBE-GGA.

Calculated values
* offset from the most stable computed form: 511 meV per atom
* total magnetic moment: 0.000 μB per formula unit
* formation energy (no corrections): 0.17 eV/atom
* D(E_F): 3.4 states/eV/f.u.

The structure in CIF format:
```
data_Li3MgBr
_cell_length_a 5.363
_cell_length_b 5.363
_cell_length_c 5.363
_cell_angle_alpha 90.00
_cell_angle_beta 90.00
_cell_angle_gamma 90.00
_symmetry_space_group_name_H-M 'P m -3 m'
_symmetry_Int_Tables_number 221
_symmetry_space_group_name_Hall '-P 4 2 3'
loop_
_atom_site_label
_atom_site_fract_x
_atom_site_fract_y
_atom_site_fract_z
_atom_site_occupancy
Li1 0.000 0.000 0.500 1
Mg1 0.000 0.000 0.000 1
Br1 0.500 0.500 0.500 1
```

=====

Entry 3:
A relaxed structure of LiMgBr2, computed with PBE-GGA.

Calculated values
* offset from the most stable computed form: 81 meV per atom
* total magnetic moment: 0.000 μB per formula unit
* formation energy (no corrections): -0.92 eV/atom
* D(E_F): 1.3 states/eV/f.u.

The structure in CIF format:
```
data_LiMgBr2
_cell_length_a 7.839
_cell_length_b 7.858
_cell_length_c 4.130
_cell_angle_alpha 90.00
_cell_angle_beta 103.76
_cell_angle_gamma 90.00
_symmetry_space_group_name_H-M 'C 1 2/m 1'
_symmetry_Int_Tables_number 12
loop_
_symmetry_equiv_pos_as_xyz
'x,y,z'
'-x,-y,-z'
'-x,y,-z'
'x,-y,z'
'x+1/2,y+1/2,z'
'-x+1/2,-y+1/2,-z'
'-x+1/2,y+1/2,-z'
'x+1/2,-y+1/2,z'
loop_
_atom_site_label
_atom_site_fract_x
_atom_site_fract_y
_atom_site_fract_z
_atom_site_occupancy
Li1 0.000 0.000 0.000 1
Mg1 0.000 0.500 0.000 1
Br1 0.250 0.250 0.000 1
```

=====

> Which of these has the lowest D(E_F)?

number 1